{
  "formula": "BeInTc2",
  "functional": "PBE",
  "state": "optimized geometry",
  "dos_at_fermi_per_ev_cell": 5.216,
  "mass_density_g_cm3": 8.850,
  "final_energy_ev_per_atom": -6.369,
  "relative_energy_ev_per_atom": 0.442,
  "formation_energy_kcal_per_mol_atoms": 9.92,
  "lattice_angstrom": [[4.983, 0.013, 0.000], [2.107, 4.515, 0.000], [-3.545, -2.264, 2.671]],
  "species": ["In", "Tc", "Tc", "Be"],
  "fractional_positions": [[0.750, 0.250, 0.500], [0.500, 0.500, 0.000], [0.000, 0.000, 0.000], [0.250, 0.750, 0.500]]
}